VASP calculation (GGA+U) on a geometry-optimized NaLiFe2F6 structure.

Values from the calculation:
Total energy = -4.982 eV/atom
Crystal system = triclinic
Total moment = 4.0 μB per formula unit
N(E_F) = 0.000 states/eV/atom

Cell lengths 5.3573, 5.3671, 5.6984 Å; angles 90.75, 117.47, 119.65 degrees
With the nearest neighbours (Å) after each atom.
Positions (direct):
Na: 0.0000 0.0000 0.0000  5 F 2.21-2.45
Li: 0.0315 0.5218 0.5386  6 F 2.04-2.23
Fe: 0.4230 0.2118 0.6299  6 F 2.04-2.10
Fe: 0.4354 0.7196 0.1490  6 F 2.04-2.15
F: 0.2654 0.4416 0.3738  1 Li 2.06, 2 Fe 2.07-2.12
F: 0.2898 0.3570 0.8606  2 Fe 2.06-2.08, 1 Na 2.22, 1 Li 2.23
F: 0.5036 0.9334 0.8476  2 Fe 2.04-2.15, 1 Li 2.15, 1 Na 2.21
F: 0.5586 0.1074 0.3704  2 Fe 2.04-2.10, 1 Li 2.10
F: 0.9215 0.5691 0.8496  2 Fe 2.04-2.14, 1 Li 2.16, 1 Na 2.22
F: 0.9352 0.8234 0.3747  1 Li 2.04, 2 Fe 2.08-2.11